one.
Li2NiRu after structural relaxation, computed with GGA-PBE.

Summary:
The density of states at the Fermi level is 3.14 states/eV/f.u. For the total magnetization, the calculation gives 1.7 μB/f.u.

a b c (Å): 4.8975 4.8975 4.8975
angles (deg): 138.27 138.27 60.49
With the nearest neighbours (Å) after each atom.
Atoms (fractional coordinates):
1 Li 0.0000 0.0000 0.0000  4 Li 2.47, 4 Ru 2.74, 4 Ni 2.74
2 Li 0.5000 0.5000 0.0000  4 Li 2.47, 4 Ru 2.74, 4 Ni 2.74
3 Ni 0.7500 0.2500 0.5000  4 Ru 2.47, 8 Li 2.74
4 Ru 0.2500 0.7500 0.5000  4 Ni 2.47, 8 Li 2.74



two.
Li2NiRu after structural relaxation, computed with GGA-PBE.

Summary:
The density of states at the Fermi level is 2.62 states/eV/f.u. For the total magnetization, the calculation gives 0.0 μB/f.u.

a b c (Å): 2.6016 2.6016 8.2448
angles (deg): 90.00 90.00 90.00
With the nearest neighbours (Å) after each atom.
Atoms (fractional coordinates):
1 Li 0.0000 0.0000 0.9735  4 Li 2.60, 4 Ru 2.75
2 Li 0.5000 0.5000 0.2882  4 Li 2.60, 4 Ni 2.61
3 Ni 0.0000 0.0000 0.5132  4 Ru 2.54, 4 Ni 2.60, 4 Li 2.61
4 Ru 0.5000 0.5000 0.7251  4 Ni 2.54, 4 Ru 2.60, 4 Li 2.75



In eV/atom, relative to the most stable structure: one 0.115; two 0.000.